# 1
The following is a PBE-GGA calculation of an optimized crystal structure of CrC2, from Alexandria.

The calculation puts the formation energy at 1.792 eV/atom. For the calculated volume, the calculation gives 47 Å³/cell. The energy above the most stable polymorph in this dataset is 1.297 eV/atom. As for the total energy: -7.565 eV/atom. The density of states at the Fermi level comes out at 0.8265 states/eV/atom. The crystal system is hexagonal.

The structure belongs to space group P6_3/mmc (No. 194); the cell edges are 3.7384, 3.7384 and 3.8827 Å and the angles 90.00°, 90.00° and 120.00°. Symmetry generates all atoms from Cr at (0.3333, 0.6667, 0.2500), C at (0.0000, 0.0000, 0.0000) and C at (0.3333, 0.6667, 0.7500).

---

# 2
The following is a PBE-GGA calculation of an optimized crystal structure of NdSI, from Alexandria.

For the calculated volume, the calculation gives 253 Å³/cell. As for the uncorrected formation energy: -1720 meV per atom. As for the total energy: -5.202 eV/atom. The density of states at the Fermi level comes out at 0.0000 states/eV/atom. The crystal system is hexagonal.

The structure belongs to space group P6_3mc (No. 186); the cell edges are 4.3364, 4.3364 and 15.5358 Å and the angles 90.00°, 90.00° and 120.00°. Symmetry generates all atoms from Nd at (0.0000, 0.0000, 0.0000), S at (0.3333, 0.6667, 0.0724) and I at (0.3333, 0.6667, 0.3626).

---

# 3
The following is a PBE-GGA calculation of an optimized crystal structure of Ir5C, from Alexandria.

The calculation puts the formation energy at 0.415 eV/atom. For the calculated volume, the calculation gives 160 Å³/cell. The energy above the most stable polymorph in this dataset is 0.000 eV/atom. As for the total energy: -8.506 eV/atom. The density of states at the Fermi level comes out at 0.9966 states/eV/atom. The crystal system is monoclinic.

The structure belongs to space group Cm (No. 8); the cell edges are 9.1722, 2.7274 and 6.6434 Å and the angles 90.00°, 105.17° and 90.00°. Symmetry generates all atoms from Ir at (0.0000, 0.0000, 0.0000), Ir at (0.0799, 0.0000, 0.4450), Ir at (0.1991, 0.5000, 0.8070), Ir at (0.3041, 0.0000, 0.2003), Ir at (0.3890, 0.0000, 0.6331) and C at (0.1355, 0.5000, 0.2278).

---

# 4
The following is a PBE-GGA calculation of an optimized crystal structure of HgWSe2, from Alexandria.

For the calculated volume, the calculation gives 182 Å³/cell. As for the uncorrected formation energy: 276 meV per atom. As for the total energy: -4.780 eV/atom. The density of states at the Fermi level comes out at 0.7852 states/eV/atom. The crystal system is orthorhombic.

The structure belongs to space group Cmmm (No. 65); the cell edges are 3.2285, 5.2802 and 10.6929 Å and the angles 90.00°, 90.00° and 90.00°. Symmetry generates all atoms from Hg at (0.0000, 0.0000, 0.0000), W at (0.0000, 0.0000, 0.5000) and Se at (0.0000, 0.5000, 0.3138).

---

# 5
The following is a PBE-GGA calculation of an optimized crystal structure of Ho5CuTe5, from Alexandria.

For the calculated volume, the calculation gives 668 Å³/cell. As for the uncorrected formation energy: -1095 meV per atom. As for the total energy: -4.976 eV/atom. The density of states at the Fermi level comes out at 0.8602 states/eV/atom. The crystal system is monoclinic.

The structure belongs to space group C2/m (No. 12); the cell edges are 13.6219, 6.1001 and 8.4981 Å and the angles 90.00°, 108.87° and 90.00°. Symmetry generates all atoms from Ho at (0.0000, 0.0000, 0.0000), Ho at (0.1560, 0.5000, 0.3179), Ho at (0.1564, 0.5000, 0.8433), Cu at (0.0000, 0.5000, 0.0000), Te at (0.0000, 0.5000, 0.5000), Te at (0.1634, 0.0000, 0.8235) and Te at (0.1774, 0.0000, 0.3355).

---

# 6
The following is a PBE-GGA calculation of an optimized crystal structure of PaZnAs2O8, from Alexandria.

For the calculated volume, the calculation gives 319 Å³/cell. As for the uncorrected formation energy: -1774 meV per atom. As for the total energy: -6.752 eV/atom. The density of states at the Fermi level comes out at 0.2522 states/eV/atom. The crystal system is tetragonal.

The structure belongs to space group I-4m2 (No. 119); the cell edges are 7.0034, 7.0034 and 6.4939 Å and the angles 90.00°, 90.00° and 90.00°. Symmetry generates all atoms from Pa at (0.0000, 0.0000, 0.0000), Zn at (0.0000, 0.5000, 0.2500), As at (0.0000, 0.0000, 0.5000), As at (0.0000, 0.5000, 0.7500), O at (0.0000, 0.1848, 0.3207) and O at (0.0000, 0.3113, 0.9370).

---

# 7
The following is a PBE-GGA calculation of an optimized crystal structure of Rb2PrNdO4, from Alexandria.

For the calculated volume, the calculation gives 156 Å³/cell. As for the uncorrected formation energy: -2540 meV per atom. As for the total energy: -6.454 eV/atom. The density of states at the Fermi level comes out at 0.0000 states/eV/atom. The crystal system is monoclinic.

The structure belongs to space group P2/m (No. 10); the cell edges are 6.3871, 3.6871 and 6.9525 Å and the angles 90.00°, 107.82° and 90.00°. Symmetry generates all atoms from Rb at (0.0000, 0.0000, 0.0000), Rb at (0.5000, 0.5000, 0.0000), Pr at (0.0000, 0.5000, 0.5000), Nd at (0.5000, 0.0000, 0.5000), O at (0.2289, 0.0000, 0.6817) and O at (0.2748, 0.5000, 0.3187).

---

# 8
The following is a PBE-GGA calculation of an optimized crystal structure of RbSc4, from Alexandria.

The calculation puts the formation energy at 1.286 eV/atom. For the calculated volume, the calculation gives 133 Å³/cell. As for the total energy: -3.973 eV/atom. The density of states at the Fermi level comes out at 1.0270 states/eV/atom. The crystal system is cubic.

The structure belongs to space group Pm-3m (No. 221); the cell edges are 5.1107, 5.1107 and 5.1107 Å and the angles 90.00°, 90.00° and 90.00°. Symmetry generates all atoms from Rb at (0.0000, 0.0000, 0.0000), Sc at (0.0000, 0.0000, 0.5000) and Sc at (0.5000, 0.5000, 0.5000).

---

# 9
The following is a PBE-GGA calculation of an optimized crystal structure of Sm3Al2Ga9, from Alexandria.

The calculation puts the formation energy at -0.468 eV/atom. For the calculated volume, the calculation gives 552 Å³/cell. As for the total energy: -3.960 eV/atom. The density of states at the Fermi level comes out at 0.2853 states/eV/atom. The crystal system is orthorhombic.

The structure belongs to space group Immm (No. 71); the cell edges are 4.2374, 10.0067 and 13.0265 Å and the angles 90.00°, 90.00° and 90.00°. Symmetry generates all atoms from Sm at (0.0000, 0.0000, 0.0000), Sm at (0.0000, 0.0000, 0.3203), Al at (0.0000, 0.2209, 0.5000), Ga at (0.0000, 0.2737, 0.1397), Ga at (0.0000, 0.3728, 0.3333) and Ga at (0.0000, 0.5000, 0.0000).

---

# 10
The following is a PBE-GGA calculation of an optimized crystal structure of H2AuSeBr, from Alexandria.

For the calculated volume, the calculation gives 109 Å³/cell. As for the total energy: -2.638 eV/atom. The density of states at the Fermi level comes out at 0.4181 states/eV/atom. The crystal system is tetragonal.

The structure belongs to space group P4/mmm (No. 123); the cell edges are 3.6584, 3.6584 and 8.1592 Å and the angles 90.00°, 90.00° and 90.00°. Symmetry generates all atoms from H at (0.0000, 0.5000, 0.0000), Au at (0.0000, 0.0000, 0.5000), Se at (0.5000, 0.5000, 0.5000) and Br at (0.5000, 0.5000, 0.0000).

---

# 11
The following is a PBE-GGA calculation of an optimized crystal structure of Cs2SiPN, from Alexandria.

For the calculated volume, the calculation gives 158 Å³/cell. As for the uncorrected formation energy: 473 meV per atom. As for the total energy: -3.701 eV/atom. The density of states at the Fermi level comes out at 0.6014 states/eV/atom. The crystal system is tetragonal.

The structure belongs to space group P4/mmm (No. 123); the cell edges are 6.7187, 6.7187 and 3.5014 Å and the angles 90.00°, 90.00° and 90.00°. Symmetry generates all atoms from Cs at (0.0000, 0.5000, 0.0000), Si at (0.0000, 0.0000, 0.5000), P at (0.5000, 0.5000, 0.5000) and N at (0.5000, 0.5000, 0.0000).

---

# 12
The following is a PBE-GGA calculation of an optimized crystal structure of TaZnIn, from Alexandria.

The calculation puts the formation energy at 0.249 eV/atom. For the calculated volume, the calculation gives 57 Å³/cell. As for the total energy: -5.040 eV/atom. The density of states at the Fermi level comes out at 1.1100 states/eV/atom. The crystal system is trigonal.

The structure belongs to space group P3m1 (No. 156); the cell edges are 3.0238, 3.0238 and 7.2090 Å and the angles 90.00°, 90.00° and 120.00°. Symmetry generates all atoms from Ta at (0.0000, 0.0000, 0.0000), Zn at (0.6667, 0.3333, 0.3122) and In at (0.3333, 0.6667, 0.6523).

---

# 13
The following is a PBE-GGA calculation of an optimized crystal structure of BeNi2Ru, from Alexandria.

The calculation puts the formation energy at -0.094 eV/atom. For the calculated volume, the calculation gives 87 Å³/cell. As for the total energy: -6.235 eV/atom. The density of states at the Fermi level comes out at 1.1425 states/eV/atom. The crystal system is orthorhombic.

The structure belongs to space group Immm (No. 71); the cell edges are 2.8813, 3.8392 and 7.8210 Å and the angles 90.00°, 90.00° and 90.00°. Symmetry generates all atoms from Be at (0.0000, 0.0000, 0.0000), Ni at (0.0000, 0.5000, 0.2705) and Ru at (0.0000, 0.0000, 0.5000).

---

# 14
The following is a PBE-GGA calculation of an optimized crystal structure of Cs2Pu2Se2S, from Alexandria.

For the calculated volume, the calculation gives 508 Å³/cell. As for the uncorrected formation energy: -1166 meV per atom. As for the total energy: -7.090 eV/atom. The density of states at the Fermi level comes out at 2.8938 states/eV/atom. The crystal system is tetragonal.

The structure belongs to space group I4/mmm (No. 139); the cell edges are 5.2903, 5.2903 and 18.1342 Å and the angles 90.00°, 90.00° and 90.00°. Symmetry generates all atoms from Cs at (0.0000, 0.0000, 0.1866), Pu at (0.0000, 0.5000, 0.0000), Se at (0.0000, 0.0000, 0.3976) and S at (0.0000, 0.0000, 0.0000).

---

# 15
The following is a PBE-GGA calculation of an optimized crystal structure of Ce2TaNiN4, from Alexandria.

For the calculated volume, the calculation gives 209 Å³/cell. As for the uncorrected formation energy: -633 meV per atom. As for the total energy: -8.483 eV/atom. The density of states at the Fermi level comes out at 0.7878 states/eV/atom. The crystal system is tetragonal.

The structure belongs to space group I-42m (No. 121); the cell edges are 6.0943, 6.0943 and 5.6315 Å and the angles 90.00°, 90.00° and 90.00°. Symmetry generates all atoms from Ce at (0.0000, 0.5000, 0.0000), Ta at (0.0000, 0.0000, 0.0000), Ni at (0.0000, 0.0000, 0.5000) and N at (0.1712, 0.1712, 0.2435).

---

# 16
The following is a PBE-GGA calculation of an optimized crystal structure of CeSn4Pt4, from Alexandria.

The calculation puts the formation energy at -0.584 eV/atom. For the calculated volume, the calculation gives 432 Å³/cell. As for the total energy: -5.707 eV/atom. The density of states at the Fermi level comes out at 0.9202 states/eV/atom. The crystal system is tetragonal.

The structure belongs to space group P4_2/n (No. 86, origin choice 2); the cell edges are 8.9865, 8.9865 and 5.3483 Å and the angles 90.00°, 90.00° and 90.00°. Symmetry generates all atoms from Ce at (0.2500, 0.2500, 0.2500), Sn at (0.0922, 0.6371, 0.1546) and Pt at (0.0385, 0.6220, 0.6563).

---

# 17
The following is a PBE-GGA calculation of an optimized crystal structure of Tb5Pr2SmY, from Alexandria.

The calculation puts the formation energy at 0.264 eV/atom. For the calculated volume, the calculation gives 1205 Å³/cell. As for the total energy: -4.613 eV/atom. The density of states at the Fermi level comes out at 1.3244 states/eV/atom. The crystal system is tetragonal.

The structure belongs to space group I4/mcm (No. 140); the cell edges are 8.7178, 8.7178 and 15.8543 Å and the angles 90.00°, 90.00° and 90.00°. Symmetry generates all atoms from Tb at (0.0000, 0.0000, 0.0000), Tb at (0.2129, 0.2871, 0.1399), Pr at (0.1184, 0.3816, 0.5000), Sm at (0.0000, 0.0000, 0.2500) and Y at (0.0000, 0.5000, 0.2500).

---

# 18
The following is a PBE-GGA calculation of an optimized crystal structure of La2AlGe4Rh3, from Alexandria.

The calculation puts the formation energy at -0.818 eV/atom. For the calculated volume, the calculation gives 193 Å³/cell. As for the total energy: -6.230 eV/atom. The density of states at the Fermi level comes out at 0.5528 states/eV/atom. The crystal system is tetragonal.

The structure belongs to space group P-4m2 (No. 115); the cell edges are 4.2968, 4.2968 and 10.4462 Å and the angles 90.00°, 90.00° and 90.00°. Symmetry generates all atoms from La at (0.0000, 0.5000, 0.2408), Al at (0.0000, 0.0000, 0.5000), Ge at (0.0000, 0.0000, 0.0000), Ge at (0.0000, 0.5000, 0.6421), Ge at (0.5000, 0.5000, 0.0000), Rh at (0.0000, 0.5000, 0.8786) and Rh at (0.5000, 0.5000, 0.5000).

---

# 19
The following is a PBE-GGA calculation of an optimized crystal structure of KHfGeO5, from Alexandria.

For the calculated volume, the calculation gives 494 Å³/cell. As for the uncorrected formation energy: -2201 meV per atom. As for the total energy: -7.258 eV/atom. The density of states at the Fermi level comes out at 0.4221 states/eV/atom. The crystal system is monoclinic.

The structure belongs to space group C2/c (No. 15); the cell edges are 7.1811, 9.4923 and 7.9272 Å and the angles 90.00°, 113.97° and 90.00°. Symmetry generates all atoms from K at (0.0000, 0.1719, 0.2500), Hf at (0.0000, 0.5000, 0.0000), Ge at (0.0000, 0.1914, 0.7500), O at (0.0000, 0.4429, 0.2500), O at (0.0790, 0.2940, 0.6052) and O at (0.2014, 0.0728, 0.8814).

---

# 20
The following is a PBE-GGA calculation of an optimized crystal structure of SiB2Te, from Alexandria.

For the calculated volume, the calculation gives 250 Å³/cell. The energy above the most stable polymorph in this dataset is 0.000 eV/atom. As for the uncorrected formation energy: 283 meV per atom. As for the total energy: -5.197 eV/atom. The density of states at the Fermi level comes out at 0.0000 states/eV/atom. The crystal system is tetragonal.

The structure belongs to space group I-42d (No. 122); the cell edges are 4.9994, 4.9994 and 10.0155 Å and the angles 90.00°, 90.00° and 90.00°. Symmetry generates all atoms from Si at (0.0000, 0.0000, 0.0000), B at (0.2111, 0.2500, 0.1250) and Te at (0.0000, 0.0000, 0.5000).